Entry A
Entry from Alexandria via LeMat-Bulk: KAgRh2 after structural relaxation (PBE).

Geometry as POSCAR:
```
KAgRh2
1.0
2.783 0.000 0.000
0.000 2.783 0.000
0.000 0.000 9.592
K Ag Rh
1 1 2
Cartesian
0.000 0.000 0.000 K
0.000 0.000 4.796 Ag
1.391 1.391 2.697 Rh
1.391 1.391 6.895 Rh
```

Values from the calculation:
Symmetry ... P4/mmm, No. 123


Entry B
Entry from Alexandria via LeMat-Bulk: KAgRh2 after structural relaxation (PBE).

Geometry as POSCAR:
```
KAgRh2
1.0
3.049 0.000 0.000
0.000 3.049 0.000
0.000 0.000 8.587
K Ag Rh
1 1 2
Cartesian
0.000 0.000 0.000 K
1.524 1.524 5.820 Ag
0.000 0.000 3.973 Rh
1.524 1.524 2.554 Rh
```

Values from the calculation:
Symmetry ... P4mm, No. 99


Entry C
Entry from Alexandria via LeMat-Bulk: KAgRh2 after structural relaxation (PBE).

Geometry as POSCAR:
```
KAgRh2
1.0
2.911 0.000 0.000
0.000 4.772 0.000
0.000 0.000 10.349
K Ag Rh
2 2 4
Cartesian
0.000 0.000 0.000 K
1.456 2.386 0.000 K
0.000 0.000 5.174 Ag
1.456 2.386 5.174 Ag
0.000 2.386 2.774 Rh
0.000 2.386 7.575 Rh
1.456 0.000 2.774 Rh
1.456 0.000 7.575 Rh
```

Values from the calculation:
Symmetry ... Cmmm, No. 65


entry B has the most favorable energy; the next structure is 21.2 kJ/mol of atoms above.


Entry A
Entry from Alexandria via LeMat-Bulk: KAg2Ru after structural relaxation (PBE).

Geometry as POSCAR:
```
KAg2Ru
1.0
10.355 0.000 0.000
0.000 2.732 0.000
-0.794 0.000 5.858
K Ag Ru
2 4 2
Cartesian
0.000 0.000 0.000 K
5.177 1.366 0.000 K
2.510 1.366 1.517 Ag
4.719 0.000 3.029 Ag
7.687 0.000 1.517 Ag
9.896 1.366 3.029 Ag
1.897 0.000 3.875 Ru
7.074 1.366 3.875 Ru
```

Values from the calculation:
Symmetry ... Cm, No. 8


Entry B
Entry from Alexandria via LeMat-Bulk: KAg2Ru after structural relaxation (PBE).

Geometry as POSCAR:
```
KAg2Ru
1.0
2.744 0.000 0.000
0.000 5.392 0.000
0.000 0.000 5.489
K Ag Ru
1 2 1
Cartesian
0.000 0.000 0.000 K
0.000 2.696 2.745 Ag
1.372 2.696 0.000 Ag
1.372 0.000 2.745 Ru
```

Values from the calculation:
Symmetry ... Pmmm, No. 47


Entry C
Entry from Alexandria via LeMat-Bulk: KAg2Ru after structural relaxation (PBE).

Geometry as POSCAR:
```
KAg2Ru
1.0
2.927 0.000 0.000
-1.464 2.535 0.000
0.000 0.000 31.455
K Ag Ru
3 6 3
Cartesian
0.000 0.000 0.000 K
0.000 1.690 20.970 K
1.464 0.845 10.485 K
0.000 0.000 7.543 Ag
0.000 0.000 23.913 Ag
0.000 1.690 13.428 Ag
0.000 1.690 28.513 Ag
1.464 0.845 2.943 Ag
1.464 0.845 18.028 Ag
0.000 0.000 15.728 Ru
0.000 1.690 5.243 Ru
1.464 0.845 26.213 Ru
```

Values from the calculation:
Symmetry ... R-3m, No. 166


entry A has the most favorable energy; the next structure is 2.1 kJ/mol of atoms above.


Entry A
Entry from Alexandria via LeMat-Bulk: KAg2Ru after structural relaxation (PBE).

Geometry as POSCAR:
```
KAg2Ru
1.0
9.330 0.000 0.000
0.000 2.767 0.000
-0.555 0.000 6.916
K Ag Ru
2 4 2
Cartesian
0.000 0.000 0.000 K
4.665 1.383 0.000 K
1.844 0.000 4.691 Ag
2.266 1.383 2.225 Ag
6.509 1.383 4.691 Ag
6.931 0.000 2.225 Ag
-0.277 1.383 3.458 Ru
4.388 0.000 3.458 Ru
```

Values from the calculation:
Symmetry ... C2/m, No. 12


Entry B
Entry from Alexandria via LeMat-Bulk: KAg2Ru after structural relaxation (PBE).

Geometry as POSCAR:
```
KAg2Ru
1.0
5.351 0.000 0.000
0.000 5.351 0.000
0.000 0.000 2.745
K Ag Ru
1 2 1
Cartesian
0.000 0.000 0.000 K
0.000 2.676 1.372 Ag
2.676 0.000 1.372 Ag
2.676 2.676 0.000 Ru
```

Values from the calculation:
Symmetry ... P4/mmm, No. 123


Entry C
Entry from Alexandria via LeMat-Bulk: KAg2Ru after structural relaxation (PBE).

Geometry as POSCAR:
```
KAg2Ru
1.0
5.377 0.000 0.000
0.000 5.377 0.000
0.000 0.000 18.267
K Ag Ru
4 8 4
Cartesian
0.000 0.000 0.000 K
0.000 2.688 4.567 K
2.688 0.000 13.701 K
2.688 2.688 9.134 K
0.013 1.344 11.417 Ag
1.344 2.701 15.984 Ag
1.344 5.364 6.850 Ag
2.675 1.344 2.283 Ag
2.701 4.033 2.283 Ag
4.033 0.013 6.850 Ag
4.033 2.675 15.984 Ag
5.364 4.033 11.417 Ag
0.000 0.000 9.134 Ru
0.000 2.688 13.701 Ru
2.688 0.000 4.567 Ru
2.688 2.688 0.000 Ru
```

Values from the calculation:
Symmetry ... I-42d, No. 122


entry A has the most favorable energy; the next structure is 1.2 kJ/mol of atoms above.


Entry A
Entry from Alexandria via LeMat-Bulk: KAg2Ru after structural relaxation (PBE).

Geometry as POSCAR:
```
KAg2Ru
1.0
4.267 0.000 0.000
0.000 4.267 0.000
0.000 0.000 9.183
K Ag Ru
2 4 2
Cartesian
0.000 0.000 0.000 K
2.134 2.134 4.592 K
0.000 0.000 4.592 Ag
0.000 2.134 2.296 Ag
2.134 0.000 6.887 Ag
2.134 2.134 0.000 Ag
0.000 2.134 6.887 Ru
2.134 0.000 2.296 Ru
```

Values from the calculation:
Symmetry ... I-4m2, No. 119


Entry B
Entry from Alexandria via LeMat-Bulk: KAg2Ru after structural relaxation (PBE).

Geometry as POSCAR:
```
KAg2Ru
1.0
6.991 0.000 0.000
0.000 6.991 0.000
0.000 0.000 6.991
K Ag Ru
4 8 4
Cartesian
0.000 0.000 0.000 K
0.000 3.495 3.495 K
3.495 0.000 3.495 K
3.495 3.495 0.000 K
1.748 1.748 1.748 Ag
1.748 1.748 5.243 Ag
1.748 5.243 1.748 Ag
1.748 5.243 5.243 Ag
5.243 1.748 1.748 Ag
5.243 1.748 5.243 Ag
5.243 5.243 1.748 Ag
5.243 5.243 5.243 Ag
0.000 0.000 3.495 Ru
0.000 3.495 0.000 Ru
3.495 0.000 0.000 Ru
3.495 3.495 3.495 Ru
```

Values from the calculation:
Symmetry ... Fm-3m, No. 225


entry B has the most favorable energy; the next structure is 0.6 kJ/mol of atoms above.


Entry A
Entry from Alexandria via LeMat-Bulk: KAg3S after structural relaxation (PBE).

Geometry as POSCAR:
```
KAg3S
1.0
5.127 0.000 0.000
0.000 5.127 0.000
0.000 0.000 5.127
K Ag S
1 3 1
Cartesian
0.000 0.000 0.000 K
0.000 2.563 2.563 Ag
2.563 0.000 2.563 Ag
2.563 2.563 0.000 Ag
2.563 2.563 2.563 S
```

Values from the calculation:
Symmetry ... Pm-3m, No. 221


Entry B
Entry from Alexandria via LeMat-Bulk: KAg3S after structural relaxation (PBE).

Geometry as POSCAR:
```
KAg3S
1.0
5.416 0.000 0.000
0.000 5.416 0.000
0.000 0.000 5.416
K Ag S
1 3 1
Cartesian
0.000 0.000 0.000 K
0.000 0.000 2.708 Ag
0.000 2.708 0.000 Ag
2.708 0.000 0.000 Ag
2.708 2.708 2.708 S
```

Values from the calculation:
Symmetry ... Pm-3m, No. 221


entry A has the most favorable energy; the next structure is 112.4 kJ/mol of atoms above.


Entry A
Entry from Alexandria via LeMat-Bulk: K2AgTeS after structural relaxation (PBE).

Geometry as POSCAR:
```
K2AgTeS
1.0
6.417 0.000 0.000
0.000 6.417 0.000
0.000 0.000 5.029
K Ag Te S
2 1 1 1
Cartesian
0.000 3.208 0.000 K
3.208 0.000 0.000 K
0.000 0.000 0.000 Ag
0.000 0.000 2.514 Te
3.208 3.208 2.514 S
```

Values from the calculation:
Symmetry ... P4/mmm, No. 123


Entry B
Entry from Alexandria via LeMat-Bulk: K2AgTeS after structural relaxation (PBE).

Geometry as POSCAR:
```
K2AgTeS
1.0
6.229 0.000 0.000
0.000 6.229 0.000
0.000 0.000 4.640
K Ag Te S
2 1 1 1
Cartesian
0.000 3.115 0.000 K
3.115 0.000 0.000 K
0.000 0.000 2.320 Ag
3.115 3.115 2.320 Te
0.000 0.000 0.000 S
```

Values from the calculation:
Symmetry ... P4/mmm, No. 123


entry B has the most favorable energy; the next structure is 36.6 kJ/mol of atoms above.


Entry A
Entry from Alexandria via LeMat-Bulk: K2VAgS4 after structural relaxation (PBE).

Geometry as POSCAR:
```
K2VAgS4
1.0
0.000 6.556 11.692
2.870 0.000 11.692
2.870 6.556 0.000
K V Ag S
4 2 2 8
Cartesian
2.153 4.917 1.285 K
3.588 8.195 7.131 K
2.153 4.917 16.252 K
3.588 8.195 22.098 K
2.153 4.917 8.769 V
3.588 8.195 14.615 V
0.718 1.639 2.923 Ag
5.023 11.473 20.461 Ag
3.334 3.604 7.474 S
3.334 6.230 10.064 S
4.769 6.882 15.909 S
4.769 9.508 13.320 S
0.971 3.604 10.064 S
0.971 6.230 7.474 S
2.406 6.882 13.320 S
2.406 9.508 15.909 S
```

Values from the calculation:
Symmetry ... Fddd, No. 70


Entry B
Entry from Alexandria via LeMat-Bulk: K2VAgS4 after structural relaxation (PBE).

Geometry as POSCAR:
```
K2VAgS4
1.0
0.000 6.591 11.315
2.911 0.000 11.315
2.911 6.591 0.000
K V Ag S
4 2 2 8
Cartesian
2.183 4.943 1.252 K
3.639 8.239 6.910 K
2.183 4.943 15.721 K
3.639 8.239 21.378 K
0.728 1.648 2.829 V
5.094 11.534 19.802 V
2.183 4.943 8.486 Ag
3.639 8.239 14.144 Ag
1.907 2.964 4.115 S
3.915 6.259 9.772 S
2.459 6.923 4.115 S
2.459 2.964 12.858 S
3.363 10.218 9.772 S
3.363 6.259 18.516 S
1.907 6.923 12.858 S
3.915 10.218 18.516 S
```

Values from the calculation:
Symmetry ... Fddd, No. 70


entry B has the most favorable energy; the next structure is 3.3 kJ/mol of atoms above.


Entry A
Entry from Alexandria via LeMat-Bulk: KAgSb2 after structural relaxation (PBE).

Geometry as POSCAR:
```
KAgSb2
1.0
7.562 0.000 0.000
0.000 7.562 0.000
0.000 0.000 7.562
K Ag Sb
4 4 8
Cartesian
0.000 0.000 0.000 K
0.000 3.781 3.781 K
3.781 0.000 3.781 K
3.781 3.781 0.000 K
0.000 0.000 3.781 Ag
0.000 3.781 0.000 Ag
3.781 0.000 0.000 Ag
3.781 3.781 3.781 Ag
1.890 1.890 1.890 Sb
1.890 1.890 5.671 Sb
1.890 5.671 1.890 Sb
1.890 5.671 5.671 Sb
5.671 1.890 1.890 Sb
5.671 1.890 5.671 Sb
5.671 5.671 1.890 Sb
5.671 5.671 5.671 Sb
```

Values from the calculation:
Symmetry ... Fm-3m, No. 225


Entry B
Entry from Alexandria via LeMat-Bulk: KAgSb2 after structural relaxation (PBE).

Geometry as POSCAR:
```
KAgSb2
1.0
4.644 0.000 0.000
0.000 4.928 0.000
0.000 0.000 9.664
K Ag Sb
2 2 4
Cartesian
0.000 0.000 0.000 K
2.322 2.464 0.000 K
0.000 0.000 4.832 Ag
2.322 2.464 4.832 Ag
0.000 2.464 2.807 Sb
0.000 2.464 6.857 Sb
2.322 0.000 2.807 Sb
2.322 0.000 6.857 Sb
```

Values from the calculation:
Symmetry ... Cmmm, No. 65


Entry C
Entry from Alexandria via LeMat-Bulk: KAgSb2 after structural relaxation (PBE).

Geometry as POSCAR:
```
KAgSb2
1.0
4.136 0.000 0.000
0.000 5.525 0.000
0.000 0.000 10.272
K Ag Sb
2 2 4
Cartesian
0.000 0.000 0.000 K
2.068 2.762 5.136 K
0.000 2.762 2.173 Ag
2.068 0.000 7.309 Ag
0.000 0.000 5.083 Sb
0.000 2.762 8.040 Sb
2.068 0.000 2.904 Sb
2.068 2.762 10.219 Sb
```

Values from the calculation:
Symmetry ... Imm2, No. 44


Entry D
Entry from Alexandria via LeMat-Bulk: KAgSb2 after structural relaxation (PBE).

Geometry as POSCAR:
```
KAgSb2
1.0
3.327 0.000 0.000
0.000 5.536 0.000
0.000 0.000 6.067
K Ag Sb
1 1 2
Cartesian
0.000 0.000 0.000 K
1.664 2.768 1.480 Ag
1.664 0.000 3.016 Sb
1.664 2.768 4.440 Sb
```

Values from the calculation:
Symmetry ... Pmm2, No. 25


entry D has the most favorable energy; the next structure is 5.7 kJ/mol of atoms above.


Entry A
Entry from Alexandria via LeMat-Bulk: KAgSb2 after structural relaxation (PBE).

Geometry as POSCAR:
```
KAgSb2
1.0
3.361 0.000 0.000
0.000 6.167 0.000
0.000 0.000 11.091
K Ag Sb
2 2 4
Cartesian
0.000 0.000 0.000 K
1.680 3.083 5.545 K
0.000 0.000 5.545 Ag
1.680 3.083 0.000 Ag
0.000 3.083 2.347 Sb
0.000 3.083 8.744 Sb
1.680 0.000 3.198 Sb
1.680 0.000 7.892 Sb
```

Values from the calculation:
Symmetry ... Immm, No. 71


Entry B
Entry from Alexandria via LeMat-Bulk: KAgSb2 after structural relaxation (PBE).

Geometry as POSCAR:
```
KAgSb2
1.0
6.766 0.000 0.000
0.000 10.328 0.000
-0.019 0.000 3.126
K Ag Sb
2 2 4
Cartesian
0.000 0.000 0.000 K
3.383 5.164 0.000 K
0.000 5.164 0.000 Ag
3.383 0.000 0.000 Ag
1.682 2.582 1.563 Sb
1.682 7.746 1.563 Sb
5.065 2.582 1.563 Sb
5.065 7.746 1.563 Sb
```

Values from the calculation:
Symmetry ... C2/m, No. 12


entry A has the most favorable energy; the next structure is 5.3 kJ/mol of atoms above.


Entry A
Entry from Alexandria via LeMat-Bulk: KAgSb2 after structural relaxation (PBE).

Geometry as POSCAR:
```
KAgSb2
1.0
5.399 0.000 0.000
0.000 5.399 0.000
0.000 0.000 19.384
K Ag Sb
4 4 8
Cartesian
0.000 0.000 0.000 K
0.000 2.699 4.846 K
2.699 0.000 14.538 K
2.699 2.699 9.692 K
0.000 0.000 9.692 Ag
0.000 2.699 14.538 Ag
2.699 0.000 4.846 Ag
2.699 2.699 0.000 Ag
0.653 1.350 12.115 Sb
1.350 3.353 16.961 Sb
1.350 4.745 7.269 Sb
2.046 1.350 2.423 Sb
3.353 4.049 2.423 Sb
4.049 0.653 7.269 Sb
4.049 2.046 16.961 Sb
4.745 4.049 12.115 Sb
```

Values from the calculation:
Symmetry ... I-42d, No. 122


Entry B
Entry from Alexandria via LeMat-Bulk: KAgSb2 after structural relaxation (PBE).

Geometry as POSCAR:
```
KAgSb2
1.0
4.013 0.000 0.000
0.000 4.013 0.000
0.000 0.000 7.621
K Ag Sb
1 1 2
Cartesian
0.000 0.000 0.000 K
2.007 2.007 5.307 Ag
0.000 0.000 3.814 Sb
2.007 2.007 2.460 Sb
```

Values from the calculation:
Symmetry ... P4mm, No. 99


entry A has the most favorable energy; the next structure is 6.1 kJ/mol of atoms above.


Entry A
Entry from Alexandria via LeMat-Bulk: KAgSb2 after structural relaxation (PBE).

Geometry as POSCAR:
```
KAgSb2
1.0
3.405 0.000 0.000
0.000 4.731 0.000
0.000 0.000 7.230
K Ag Sb
1 1 2
Cartesian
0.000 0.000 0.000 K
1.703 0.000 3.615 Ag
1.703 2.365 2.083 Sb
1.703 2.365 5.147 Sb
```

Values from the calculation:
Symmetry ... Pmmm, No. 47


Entry B
Entry from Alexandria via LeMat-Bulk: KAgSb2 after structural relaxation (PBE).

Geometry as POSCAR:
```
KAgSb2
1.0
4.690 0.000 0.000
0.000 4.705 0.000
0.000 0.000 4.930
K Ag Sb
1 1 2
Cartesian
0.000 0.000 0.000 K
2.345 2.353 0.000 Ag
0.000 2.353 2.465 Sb
2.345 0.000 2.465 Sb
```

Values from the calculation:
Symmetry ... Pmmm, No. 47


entry A has the most favorable energy; the next structure is 18.6 kJ/mol of atoms above.